No. 1
Entry from Alexandria: a relaxed structure of PuSnPdRh (PBE-GGA).

Values from the calculation:
**Symmetry**: F-43m (216)
**Formation enthalpy at 0 K**: -0.49 eV per atom

extended XYZ file:
```
4
Lattice="-3.853 2.851 0.085 -3.559 -0.686 -3.137 -4.218 -1.715 1.498" Properties=species:S:1:pos:R:3 pbc="T T T"
Rh -5.815 0.225 -0.777
Sn -2.908 0.112 -0.388
Pd 0.000 0.000 0.000
Pu -8.723 0.337 -1.165
```

=====

No. 2
Entry from Alexandria: a relaxed structure of PuSn4Pd2Rh (PBE-GGA).

Values from the calculation:
**Symmetry**: R-3m (166)
**Formation enthalpy at 0 K**: -0.39 eV per atom

extended XYZ file:
```
8
Lattice="4.617 0.000 0.000 2.309 3.999 0.000 2.309 1.333 9.032" Properties=species:S:1:pos:R:3 pbc="T T T"
Pu 0.000 0.000 0.000
Sn 4.617 2.666 7.382
Sn 6.926 3.999 3.516
Sn 2.309 1.333 5.516
Sn 4.617 2.666 1.650
Pd 6.926 3.999 6.480
Pd 2.309 1.333 2.552
Rh 4.617 2.666 4.516
```

=====

No. 3
Entry from Alexandria: a relaxed structure of TbPuPdRh (PBE-GGA).

Values from the calculation:
**Symmetry**: Amm2 (38)
**Excess energy over the best structure of this formula in the dataset**: 0.0 meV/atom
**Formation enthalpy at 0 K**: -0.66 eV per atom

extended XYZ file:
```
4
Lattice="3.831 0.000 0.000 0.000 4.134 0.000 -1.916 0.000 5.551" Properties=species:S:1:pos:R:3 pbc="T T T"
Tb 0.000 0.000 1.605
Pu 1.916 2.067 4.056
Pd 1.916 2.067 0.947
Rh 0.000 0.000 4.495
```

=====

No. 4
Entry from Alexandria: a relaxed structure of TbPuPdRh (PBE-GGA).

Values from the calculation:
**Symmetry**: F-43m (216)
**Excess energy over the best structure of this formula in the dataset**: 52.0 meV/atom
**Formation enthalpy at 0 K**: -0.61 eV per atom

extended XYZ file:
```
4
Lattice="4.919 0.000 0.000 2.459 4.260 0.000 2.459 1.420 4.016" Properties=species:S:1:pos:R:3 pbc="T T T"
Rh 7.378 4.260 3.012
Tb 0.000 0.000 0.000
Pd 2.459 1.420 1.004
Pu 4.919 2.840 2.008
```

=====

No. 5
Entry from Alexandria: a relaxed structure of PuTePdRh (PBE-GGA).

Values from the calculation:
**Formation energy without anion corrections**: -428.1 meV/atom
**Symmetry**: F-43m (216)

extended XYZ file:
```
4
Lattice="4.828 0.000 0.000 2.414 4.182 0.000 2.414 1.394 3.942" Properties=species:S:1:pos:R:3 pbc="T T T"
Te 0.000 0.000 0.000
Rh 7.243 4.182 2.957
Pd 2.414 1.394 0.986
Pu 4.828 2.788 1.971
```

=====

No. 6
Entry from Alexandria: a relaxed structure of PuThPdRh (PBE-GGA).

Values from the calculation:
**Symmetry**: F-43m (216)
**Formation enthalpy at 0 K**: -0.57 eV per atom

extended XYZ file:
```
4
Lattice="5.007 0.000 0.000 2.503 4.336 0.000 2.503 1.445 4.088" Properties=species:S:1:pos:R:3 pbc="T T T"
Rh 7.510 4.336 3.066
Pd 2.503 1.445 1.022
Th 5.007 2.891 2.044
Pu 0.000 0.000 0.000
```

=====

| no. | calculated total energy (eV per atom) |
| --- | --- |
| 1 | -8.210 |
| 2 | -6.395 |
| 3 | -8.536 |
| 4 | -8.484 |
| 5 | -7.933 |
| 6 | -9.141 |